A plane-wave DFT calculation with GGA+U was carried out for CrO2 after structural relaxation.

Properties
- E_tot (eV/atom) = -7.231
- calculated volume (Å³/atom) = 11.30
- SG = Cmcm, No. 63

abc: 4.9598 4.9598 9.7863
angles: 90.00 90.00 145.73
Fractional coordinates of all 12 atoms:
Cr 0.1336 0.8664 0.5737
Cr 0.1336 0.8664 0.9263
Cr 0.8664 0.1336 0.0737
Cr 0.8664 0.1336 0.4263
O 0.0745 0.9255 0.7500
O 0.2377 0.7623 0.1015
O 0.2377 0.7623 0.3985
O 0.5000 0.5000 0.0000
O 0.5000 0.5000 0.5000
O 0.7623 0.2377 0.6015
O 0.7623 0.2377 0.8985
O 0.9255 0.0745 0.2500